1.
Entry from Alexandria via LeMat-Bulk: MgCoSi2O6 at its PBEsol-relaxed geometry (meta-GGA SCAN).

a = 5.200 Å, b = 18.163 Å, c = 8.897 Å
α = 90.00°, β = 90.00°, γ = 90.00°
Space group Pbca (No. 61)
Asymmetric unit:
Mg: 0.127 0.124 0.156 x8
Co: 0.136 0.123 0.510 x8
Si: 0.058 0.727 0.659 x8
Si: 0.209 0.028 0.836 x8
O: 0.043 0.683 0.163 x8
O: 0.058 0.689 0.495 x8
O: 0.095 0.553 0.696 x8
O: 0.166 0.195 0.727 x8
O: 0.188 0.569 0.985 x8
O: 0.208 0.562 0.337 x8

Values from the calculation:
The relative energy among the computed polymorphs comes out at 0.0 meV per atom. Its crystal system is orthorhombic. Its calculated density is 3.72 g/cm³. As for the volume: 10.50 A^3/atom.

***

2.
Entry from Alexandria via LeMat-Bulk: Mg5Ag24 at its PBEsol-relaxed geometry (meta-GGA SCAN).

a = 10.038 Å, b = 10.038 Å, c = 10.038 Å
α = 90.00°, β = 90.00°, γ = 90.00°
Space group I-43m (No. 217)
Asymmetric unit:
Mg: 0.000 0.000 0.000 x2
Mg: 0.183 0.183 0.183 x8
Ag: 0.048 0.363 0.637 x24
Ag: 0.094 0.094 0.715 x24

Values from the calculation:
The calculation puts the energy at -26.86 eV per atom. Its crystal system is cubic. Its calculated density is 8.90 g/cm³. As for the volume: 17.44 A^3/atom.

***

3.
Entry from Alexandria via LeMat-Bulk: Tl3PdS at its PBEsol-relaxed geometry (meta-GGA SCAN).

a = 5.233 Å, b = 5.233 Å, c = 5.233 Å
α = 90.00°, β = 90.00°, γ = 90.00°
Space group Pm-3m (No. 221)
Asymmetric unit:
Tl: 0.000 0.000 0.500 x3
Pd: 0.500 0.500 0.500 x1
S: 0.000 0.000 0.000 x1

Values from the calculation:
The relative energy among the computed polymorphs comes out at 673.0 meV per atom. Its crystal system is cubic. Its calculated density is 8.71 g/cm³. As for the volume: 28.66 A^3/atom.

***

4.
Entry from Alexandria via LeMat-Bulk: HgPt4Rh at its PBEsol-relaxed geometry (meta-GGA SCAN).

a = 7.348 Å, b = 7.348 Å, c = 7.348 Å
α = 90.00°, β = 90.00°, γ = 90.00°
Space group F-43m (No. 216)
Asymmetric unit:
Hg: 0.000 0.000 0.000 x4
Pt: 0.125 0.125 0.375 x16
Rh: 0.250 0.250 0.750 x4

Values from the calculation:
The calculation puts the energy at -63.54 eV per atom. Its crystal system is cubic. Its calculated density is 18.14 g/cm³. As for the volume: 16.53 A^3/atom.

***

5.
Entry from Alexandria via LeMat-Bulk: MgNb3O at its PBEsol-relaxed geometry (meta-GGA SCAN).

a = 4.269 Å, b = 4.269 Å, c = 4.269 Å
α = 90.00°, β = 90.00°, γ = 90.00°
Space group Pm-3m (No. 221)
Asymmetric unit:
Mg: 0.000 0.000 0.000 x1
Nb: 0.000 0.500 0.500 x3
O: 0.500 0.500 0.500 x1

Values from the calculation:
The calculation puts the energy at -22.74 eV per atom. Its crystal system is cubic. Its calculated density is 6.81 g/cm³. As for the volume: 15.56 A^3/atom.

***

6.
Entry from Alexandria via LeMat-Bulk: HgGe2Te at its PBEsol-relaxed geometry (meta-GGA SCAN).

a = 7.116 Å, b = 7.116 Å, c = 7.116 Å
α = 90.00°, β = 90.00°, γ = 90.00°
Space group Fm-3m (No. 225)
Asymmetric unit:
Hg: 0.000 0.000 0.000 x4
Ge: 0.250 0.250 0.250 x8
Te: 0.000 0.000 0.500 x4

Values from the calculation:
The calculation puts the energy at -35.52 eV per atom. Its crystal system is cubic. Its calculated density is 8.73 g/cm³. As for the volume: 22.52 A^3/atom.

***

7.
Entry from Alexandria via LeMat-Bulk: LaMgCu at its PBEsol-relaxed geometry (meta-GGA SCAN).

a = 7.5874 Å, b = 7.5874 Å, c = 4.0977 Å
α = 90.00°, β = 90.00°, γ = 120.00°
Space group P-62m (No. 189)
Asymmetric unit:
La: 0.0000 0.5818 0.0000 x3
Mg: 0.0000 0.2355 0.5000 x3
Cu: 0.0000 0.0000 0.0000 x1
Cu: 0.3333 0.6667 0.5000 x2

Values from the calculation:
The calculation puts the energy at -21.30 eV per atom. Its crystal system is hexagonal. Its calculated density is 5.53 g/cm³. As for the volume: 22.70 A^3/atom.

***

8.
Entry from Alexandria via LeMat-Bulk: ScSb2P at its PBEsol-relaxed geometry (meta-GGA SCAN).

a = 5.800 Å, b = 6.061 Å, c = 10.379 Å
α = 90.00°, β = 90.00°, γ = 90.00°
Space group Fmmm (No. 69)
Asymmetric unit:
Sc: 0.000 0.000 0.000 x4
Sb: 0.000 0.250 0.250 x8
P: 0.000 0.000 0.500 x4

Values from the calculation:
The calculation puts the energy at -25.11 eV per atom. Its crystal system is orthorhombic. Its calculated density is 5.82 g/cm³. As for the volume: 22.80 A^3/atom.

***

9.
Entry from Alexandria via LeMat-Bulk: GaH2Ir at its PBEsol-relaxed geometry (meta-GGA SCAN).

a = 3.576 Å, b = 3.576 Å, c = 12.707 Å
α = 90.00°, β = 90.00°, γ = 90.00°
Space group I4_1/amd (No. 141, origin choice 2)
Asymmetric unit:
Ga: 0.000 0.250 0.375 x4
H: 0.000 0.000 0.000 x8
Ir: 0.000 0.250 0.875 x4

Values from the calculation:
The calculation puts the energy at -23.41 eV per atom. Its crystal system is tetragonal. Its calculated density is 10.79 g/cm³. As for the volume: 10.16 A^3/atom.

***

10.
Entry from Alexandria via LeMat-Bulk: MnZn2In at its PBEsol-relaxed geometry (meta-GGA SCAN).

a = 3.862 Å, b = 3.882 Å, c = 8.154 Å
α = 90.00°, β = 90.00°, γ = 90.00°
Space group Imm2 (No. 44)
Asymmetric unit:
Mn: 0.000 0.000 0.000 x2
Zn: 0.000 0.000 0.501 x2
Zn: 0.000 0.500 0.251 x2
In: 0.000 0.500 0.750 x2

Values from the calculation:
The calculation puts the energy at -19.65 eV per atom. Its crystal system is orthorhombic. Its calculated density is 8.17 g/cm³. As for the volume: 15.28 A^3/atom.

***

11.
Entry from Alexandria via LeMat-Bulk: CaHg2GeOs at its PBEsol-relaxed geometry (meta-GGA SCAN).

a = 4.928 Å, b = 4.928 Å, c = 5.516 Å
α = 90.00°, β = 90.00°, γ = 90.00°
Space group P4/mmm (No. 123)
Asymmetric unit:
Ca: 0.000 0.000 0.000 x1
Hg: 0.000 0.500 0.500 x2
Ge: 0.000 0.000 0.500 x1
Os: 0.500 0.500 0.000 x1

Values from the calculation:
The calculation puts the energy at -46.31 eV per atom. Its crystal system is tetragonal. Its calculated density is 8.73 g/cm³. As for the volume: 26.80 A^3/atom.

***

12.
Entry from Alexandria via LeMat-Bulk: HfTiGa2 at its PBEsol-relaxed geometry (meta-GGA SCAN).

a = 6.432 Å, b = 6.432 Å, c = 6.432 Å
α = 90.00°, β = 90.00°, γ = 90.00°
Space group Fm-3m (No. 225)
Asymmetric unit:
Hf: 0.000 0.000 0.000 x4
Ti: 0.000 0.000 0.500 x4
Ga: 0.250 0.250 0.250 x8

Values from the calculation:
The calculation puts the energy at -28.23 eV per atom. Its crystal system is cubic. Its calculated density is 9.13 g/cm³. As for the volume: 16.63 A^3/atom.